{
  "formula": "Tb3PrHo4",
  "functional": "GGA-PBE",
  "state": "relaxed",
  "cell": [[11.3292, 0.0000, 0.0000], [0.0000, 7.2813, 0.0000], [0.0000, 0.0000, 6.2871]],
  "species": ["Tb", "Tb", "Tb", "Tb", "Tb", "Tb", "Pr", "Pr", "Ho", "Ho", "Ho", "Ho", "Ho", "Ho", "Ho", "Ho"],
  "frac_coords": [[0.0000, 0.1273, 0.0000], [0.2501, 0.1274, 0.3343], [0.2499, 0.8726, 0.8343], [0.5000, 0.8727, 0.5000], [0.7499, 0.1274, 0.3343], [0.7501, 0.8726, 0.8343], [0.0000, 0.8740, 0.5000], [0.5000, 0.1260, 0.0000], [0.0000, 0.3771, 0.5011], [0.0000, 0.6226, 0.0015], [0.2484, 0.3771, 0.8340], [0.2516, 0.6229, 0.3340], [0.5000, 0.3774, 0.5015], [0.5000, 0.6229, 0.0011], [0.7484, 0.6229, 0.3340], [0.7516, 0.3771, 0.8340]],
  "dos_at_fermi_per_ev_fu": 13.50,
  "e_form_ev_per_fu": 0.117,
  "de_polymorph_ev_per_fu": 0.00,
  "m_tot_mub_per_atom": 0.000
}